Record 1
Material: BeSn3I
Method: DFT, PBE
State: optimized geometry

Output
Formation energy (no corrections) in eV/atom: 1.3836
Space-group type: Pm-3m, No. 221
E in eV/cell: -10.37
Energy relative to the lowest polymorph listed for this composition in meV per atom: 1045

```
BeSn3I
1.0
5.876 0.000 0.000
0.000 5.876 0.000
0.000 0.000 5.876
Be Sn I
1 3 1
direct
0.000 0.000 0.000
0.000 0.500 0.500
0.500 0.000 0.500
0.500 0.500 0.000
0.500 0.500 0.500
```

Record 2
Material: Tb5Pb2C
Method: DFT, PBE
State: optimized geometry

Output
Space-group type: Cmcm, No. 63
E in eV/cell: -79.48
ΔH_f (0 K) in meV per atom: 6

```
Tb5Pb2C
1.0
2.491 -8.214 0.000
2.491 8.214 0.000
0.000 0.000 12.780
Tb Pb C
10 4 2
direct
0.088 0.912 0.614
0.088 0.912 0.886
0.289 0.711 0.579
0.289 0.711 0.921
0.292 0.708 0.250
0.708 0.292 0.750
0.711 0.289 0.079
0.711 0.289 0.421
0.912 0.088 0.114
0.912 0.088 0.386
0.108 0.892 0.129
0.108 0.892 0.371
0.892 0.108 0.629
0.892 0.108 0.871
0.183 0.817 0.750
0.817 0.183 0.250
```

Record 3
Material: LiSb2Br8
Method: DFT, PBE
State: optimized geometry

Output
Formation energy (no corrections) in eV/atom: -0.6282
Space-group type: C2/m, No. 12
E in eV/cell: -30.45

```
LiSb2Br8
1.0
5.423 -5.889 0.000
5.423 5.889 0.000
-2.043 0.000 6.852
Li Sb Br
1 2 8
direct
0.000 0.000 0.000
0.294 0.294 0.432
0.706 0.706 0.568
0.005 0.685 0.781
0.172 0.172 0.700
0.315 0.995 0.219
0.469 0.469 0.201
0.531 0.531 0.799
0.685 0.005 0.781
0.828 0.828 0.300
0.995 0.315 0.219
```

- Which of these has the highest E?
  BeSn3I

- Among the records above, which one has the highest E?
  BeSn3I